Record 1
# ScTc2H

A relaxed ScTc2H crystal (PBEsol, Alexandria via LeMat-Bulk).

Computed properties:
As for the space group: No. 225. As for the total energy: -28.3 eV for the cell shown.

```
ScTc2H
1.0
-1.009 4.084 0.072
-4.025 1.179 -0.341
-2.009 1.612 3.327
Sc H Tc
1 1 2
Cartesian
-3.521 3.438 1.529
0.000 0.000 0.000
-5.282 5.157 2.293
-1.761 1.719 0.764
```

=====

Record 2
# LaNiCl2

A relaxed LaNiCl2 crystal (PBEsol, Alexandria via LeMat-Bulk).

Computed properties:
As for the space group: No. 123. The uncorrected formation energy is -716 meV/atom. As for the total energy: -18.4 eV for the cell shown.

```
LaNiCl2
1.0
-2.341 -0.734 -2.622
2.484 -1.992 -1.660
-1.895 -4.918 3.068
Cl Ni La
2 1 1
Cartesian
-0.467 -1.213 0.756
-1.428 -3.705 2.311
-0.876 -3.822 -0.607
0.071 -1.363 -2.141
```

=====

Record 3
# KRb2CrF6

A relaxed KRb2CrF6 crystal (PBEsol, Alexandria via LeMat-Bulk).

Computed properties:
As for the space group: No. 225. The uncorrected formation energy is -2814 meV/atom. As for the total energy: -53.1 eV for the cell shown.

```
KRb2CrF6
1.0
6.206 0.000 0.000
3.103 5.375 0.000
3.103 1.792 5.068
Cr F K Rb
1 6 1 2
Cartesian
0.000 0.000 0.000
6.206 1.558 1.102
7.960 2.571 3.966
7.960 4.596 1.102
4.453 2.571 3.966
6.206 5.608 3.966
4.453 4.596 1.102
6.206 3.583 2.534
9.310 5.375 3.801
3.103 1.792 1.267
```

=====

Record 4
# ReTe2Pd

A relaxed ReTe2Pd crystal (PBEsol, Alexandria via LeMat-Bulk).

Computed properties:
As for the space group: No. 122. The uncorrected formation energy is 448 meV/atom. As for the total energy: -49.1 eV for the cell shown.

```
ReTe2Pd
1.0
6.047 0.000 0.000
0.000 6.047 0.000
-3.024 -3.024 5.719
Te Re Pd
4 2 2
Cartesian
1.459 4.535 1.430
1.512 1.564 4.289
-1.512 -1.564 4.289
4.588 1.512 1.430
0.000 3.024 2.860
0.000 0.000 0.000
3.024 3.024 0.000
3.024 0.000 2.860
```

=====

Record 5
# HgOF2

A relaxed HgOF2 crystal (PBEsol, Alexandria via LeMat-Bulk).

Computed properties:
As for the space group: No. 122. The uncorrected formation energy is -185 meV/atom. As for the total energy: -20.8 eV for the cell shown.

```
HgOF2
1.0
3.751 0.000 0.000
0.000 3.751 0.000
-1.876 -1.876 7.343
O F Hg
2 4 2
Cartesian
1.876 1.876 0.000
1.876 0.000 3.671
-0.938 -0.986 5.507
0.890 2.814 1.836
0.938 0.986 5.507
2.861 0.938 1.836
0.000 1.876 3.671
0.000 0.000 0.000
```

=====

Record 6
# P2OsPt

A relaxed P2OsPt crystal (PBEsol, Alexandria via LeMat-Bulk).

Computed properties:
As for the space group: No. 65. Its formation energy is 0.35 eV per atom. As for the total energy: -29.4 eV for the cell shown.

```
P2OsPt
1.0
2.792 0.000 0.000
-1.396 2.457 0.000
0.000 0.000 8.289
P Pt Os
2 1 1
Cartesian
0.000 0.000 6.321
0.000 0.000 1.967
1.396 0.000 4.144
1.396 0.000 0.000
```

=====

Record 7
# MgZr3O

A relaxed MgZr3O crystal (PBEsol, Alexandria via LeMat-Bulk).

Computed properties:
As for the space group: No. 221. The uncorrected formation energy is -1085 meV/atom. As for the total energy: -39.7 eV for the cell shown.

```
MgZr3O
1.0
4.465 0.000 0.000
0.000 4.465 0.000
0.000 0.000 4.465
Zr Mg O
3 1 1
Cartesian
2.233 0.000 0.000
0.000 2.233 0.000
0.000 0.000 2.233
2.233 2.233 2.233
0.000 0.000 0.000
```

=====

Record 8
# Y2NiAg

A relaxed Y2NiAg crystal (PBEsol, Alexandria via LeMat-Bulk).

Computed properties:
As for the space group: No. 38. Its formation energy is -0.33 eV per atom. As for the total energy: -24.4 eV for the cell shown.

```
Y2NiAg
1.0
3.733 0.000 0.000
0.000 4.466 0.000
-1.866 0.000 5.165
Ag Ni Y
1 1 2
Cartesian
1.866 0.000 3.391
1.866 2.233 1.809
0.000 0.000 1.170
0.000 2.233 4.076
```

=====

Record 9
# Ti3V2P6WO24

A relaxed Ti3V2P6WO24 crystal (PBEsol, Alexandria via LeMat-Bulk).

Computed properties:
As for the space group: No. 146. The uncorrected formation energy is -2303 meV/atom. As for the total energy: -301.7 eV for the cell shown.

```
Ti3V2P6WO24
1.0
8.330 -0.185 -0.132
3.940 7.341 -0.132
3.940 2.298 6.974
O Ti P V W
24 3 6 2 1
Cartesian
8.532 5.779 5.180
10.348 7.958 4.467
7.655 3.761 1.552
9.285 4.377 -0.185
7.444 7.612 6.508
11.051 5.637 6.039
5.863 1.517 2.152
6.906 5.102 6.881
10.117 4.079 3.747
5.951 2.423 6.195
8.716 1.906 0.243
9.231 6.401 2.615
7.841 7.650 1.033
6.125 5.330 3.038
5.039 7.163 1.719
11.198 2.217 5.039
10.519 1.984 2.546
12.022 5.895 3.329
4.207 3.469 3.402
5.091 3.856 0.722
8.382 1.781 5.655
5.677 7.456 4.193
7.043 3.052 4.029
10.291 7.044 0.430
10.320 6.018 4.272
5.855 3.414 2.424
13.959 8.141 5.778
7.982 6.150 6.591
8.180 3.383 0.136
9.283 7.515 1.524
5.112 6.506 3.149
6.973 1.928 5.103
11.112 2.884 3.631
0.062 0.036 0.026
8.143 4.749 3.371
2.176 1.269 0.901
```

=====

Record 10
# Zn3Cu

A relaxed Zn3Cu crystal (PBEsol, Alexandria via LeMat-Bulk).

Computed properties:
As for the space group: No. 63. Its formation energy is -0.04 eV per atom. As for the total energy: -37.0 eV for the cell shown.

```
Zn3Cu
1.0
-0.084 -1.882 -3.700
-0.263 -6.291 3.206
-7.544 0.320 0.008
Zn Cu
12 4
Cartesian
-4.497 -2.842 -0.782
-5.873 -4.779 -2.095
-7.077 -2.733 -0.780
-3.394 -5.011 0.296
-5.962 -6.984 1.358
-0.640 -1.034 0.540
-1.928 -0.869 -1.843
-2.018 -3.074 1.609
-0.814 -5.120 0.294
-3.220 -0.925 0.543
-4.670 -6.928 -1.029
-7.250 -6.819 -1.026
-2.016 -2.979 -0.769
-5.701 -0.788 0.529
-5.874 -4.873 0.283
-2.190 -7.065 -1.015
```

=====

Record 11
# CsBe3Fe

A relaxed CsBe3Fe crystal (PBEsol, Alexandria via LeMat-Bulk).

Computed properties:
As for the space group: No. 221. Its formation energy is 2.93 eV per atom. As for the total energy: -7.2 eV for the cell shown.

```
CsBe3Fe
1.0
4.803 0.000 0.000
0.000 4.803 0.000
0.000 0.000 4.803
Be Cs Fe
3 1 1
Cartesian
0.000 2.401 0.000
0.000 0.000 2.401
2.401 0.000 0.000
0.000 0.000 0.000
2.401 2.401 2.401
```

=====

Record 12
# TcBi3O8

A relaxed TcBi3O8 crystal (PBEsol, Alexandria via LeMat-Bulk).

Computed properties:
As for the space group: No. 198. The uncorrected formation energy is -1372 meV/atom. As for the total energy: -660.7 eV for the cell shown.

```
TcBi3O8
1.0
-4.350 -8.448 6.359
4.317 -7.696 -7.271
9.652 -0.365 6.117
O Bi Tc
64 24 8
Cartesian
5.811 -4.965 6.500
8.623 -7.889 -3.999
-0.150 -9.771 2.275
9.618 -7.786 0.890
6.994 -9.011 0.235
10.579 -14.206 3.826
-0.924 -6.611 6.442
4.624 -8.543 7.717
9.026 -10.681 1.183
5.083 -8.724 2.750
9.524 -12.323 5.597
1.034 -13.012 2.898
0.304 -0.521 0.164
6.378 -7.720 5.466
8.402 -14.123 1.964
3.818 -13.222 2.747
1.689 -6.709 7.616
6.974 -6.948 -1.938
2.365 -12.173 0.379
1.102 -6.222 2.776
5.790 -5.915 1.197
9.258 -4.349 1.113
6.616 -9.537 -2.945
2.800 -1.605 0.864
6.176 -2.134 1.392
2.739 -8.592 5.841
0.990 -3.130 -0.625
-2.206 -9.334 4.127
-1.916 -11.847 2.923
2.494 -7.934 0.887
9.177 -9.622 -1.401
8.199 -6.410 2.670
7.536 -9.767 3.616
5.912 -11.258 1.888
7.411 -12.718 4.010
7.345 -16.188 3.517
4.190 -7.983 -2.181
0.473 -2.581 2.068
3.562 -5.873 -0.666
5.927 -7.318 -4.509
7.450 -4.558 8.736
1.316 -9.988 -2.093
8.559 -5.479 6.333
7.211 -4.287 3.957
1.180 -6.187 -2.229
2.615 -10.706 2.949
5.930 -14.496 5.348
-0.035 -10.968 4.804
7.274 -11.604 -0.811
4.737 -4.040 2.977
8.530 -2.222 2.891
8.288 -14.591 6.841
2.239 -8.063 -4.005
0.428 -8.029 4.624
3.459 -6.305 4.271
7.438 -7.655 8.053
2.604 -12.443 5.158
3.676 -10.078 -0.604
7.637 -2.841 6.529
2.632 -4.517 1.424
9.058 -8.449 5.898
0.141 -4.546 4.894
6.973 -10.108 6.794
5.137 -10.869 4.552
5.004 -8.466 9.866
8.275 -6.146 0.363
6.323 -14.326 2.998
7.256 -12.775 6.193
4.642 -4.141 0.657
1.105 -13.886 -0.118
-0.862 -6.331 4.129
3.344 -9.869 -2.902
4.465 -12.343 -0.199
9.449 -12.419 3.269
4.487 -7.911 -0.013
6.302 -2.334 3.565
3.223 -6.201 -3.007
2.337 -8.039 3.553
9.760 -8.242 3.022
2.431 -4.502 3.599
3.731 -6.748 6.850
5.958 -5.985 3.376
11.497 -7.864 -0.221
3.854 -10.442 6.960
1.495 -6.063 0.380
9.292 -4.449 3.296
1.457 -10.210 0.072
0.609 -8.412 6.772
7.460 -8.483 6.554
7.022 -7.923 -3.342
-1.070 -10.469 3.537
2.518 -12.346 3.436
8.119 -10.228 -0.198
7.363 -4.460 7.010
5.924 -10.166 3.205
1.143 -1.961 0.618
```

=====

Record 13
# InTcRh2

A relaxed InTcRh2 crystal (PBEsol, Alexandria via LeMat-Bulk).

Computed properties:
As for the space group: No. 25. Its formation energy is 0.02 eV per atom. As for the total energy: -30.4 eV for the cell shown.

```
InTcRh2
1.0
2.794 0.000 0.000
0.000 3.812 0.000
0.000 0.000 5.660
Rh Tc In
2 1 1
Cartesian
1.397 1.906 1.521
0.000 0.000 0.025
0.000 0.000 2.626
1.397 1.906 4.319
```

=====

Record 14
# YMgCu4

A relaxed YMgCu4 crystal (PBEsol, Alexandria via LeMat-Bulk).

Computed properties:
As for the space group: No. 216. Its formation energy is -0.23 eV per atom. As for the total energy: -27.3 eV for the cell shown.

```
YMgCu4
1.0
5.019 0.000 0.000
2.510 4.347 0.000
2.510 1.449 4.098
Cu Mg Y
4 1 1
Cartesian
5.019 2.898 3.602
5.019 4.362 1.531
6.287 2.166 1.531
3.751 2.166 1.531
0.000 0.000 0.000
7.529 4.347 3.074
```

=====

Record 15
# ScZnAg2

A relaxed ScZnAg2 crystal (PBEsol, Alexandria via LeMat-Bulk).

Computed properties:
As for the space group: No. 119. Its formation energy is -0.24 eV per atom. As for the total energy: -15.8 eV for the cell shown.

```
ScZnAg2
1.0
4.247 0.000 0.000
-2.123 4.305 0.003
0.000 -2.099 3.694
Ag Zn Sc
2 1 1
Cartesian
0.000 0.578 2.772
0.000 0.000 0.000
2.123 1.627 0.925
0.000 3.255 1.850
```

=====

Record 16
# TaS3

A relaxed TaS3 crystal (PBEsol, Alexandria via LeMat-Bulk).

Computed properties:
As for the space group: No. 11. The uncorrected formation energy is -861 meV/atom. As for the total energy: -58.3 eV for the cell shown.

```
TaS3
1.0
-3.283 -0.270 0.377
-0.414 -1.457 -4.648
1.080 -7.990 3.676
Ta S
2 6
Cartesian
-1.862 -5.954 1.380
-0.754 -3.763 -1.975
-0.167 -7.507 0.448
-2.449 -2.210 -1.043
-2.185 -5.690 -1.244
0.037 -6.790 2.741
-2.653 -2.926 -3.336
-0.431 -4.027 0.649
```

=====

Record 17
# ZrBeMo2S

A relaxed ZrBeMo2S crystal (PBEsol, Alexandria via LeMat-Bulk).

Computed properties:
As for the space group: No. 123. The uncorrected formation energy is 1950 meV/atom. As for the total energy: -31.3 eV for the cell shown.

```
ZrBeMo2S
1.0
-0.132 -0.183 -4.718
-2.919 -3.773 0.228
-3.778 2.922 -0.008
Be Mo Zr S
1 2 1 1
Cartesian
-3.414 -0.517 -2.249
-1.459 -1.887 0.114
-1.889 1.461 -0.004
0.000 0.000 0.000
-0.066 -0.092 -2.359
```

=====

Record 18
# ReHg3C

A relaxed ReHg3C crystal (PBEsol, Alexandria via LeMat-Bulk).

Computed properties:
As for the space group: No. 221. Its formation energy is 1.88 eV per atom. As for the total energy: -15.3 eV for the cell shown.

```
ReHg3C
1.0
4.493 0.000 0.000
0.000 4.493 0.000
0.000 0.000 4.493
Hg C Re
3 1 1
Cartesian
0.000 2.246 0.000
0.000 0.000 2.246
2.246 0.000 0.000
0.000 0.000 0.000
2.246 2.246 2.246
```

=====

Record 19
# CuTeRhN2

A relaxed CuTeRhN2 crystal (PBEsol, Alexandria via LeMat-Bulk).

Computed properties:
As for the space group: No. 123. The uncorrected formation energy is 1544 meV/atom. As for the total energy: -25.3 eV for the cell shown.

```
CuTeRhN2
1.0
3.695 0.000 0.000
0.000 3.695 0.000
0.000 0.000 5.521
N Te Cu Rh
2 1 1 1
Cartesian
1.848 0.000 0.000
0.000 1.848 0.000
0.000 0.000 2.761
0.000 0.000 0.000
1.848 1.848 2.761
```

=====

Record 20
# KReTe2

A relaxed KReTe2 crystal (PBEsol, Alexandria via LeMat-Bulk).

Computed properties:
As for the space group: No. 216. The uncorrected formation energy is 1240 meV/atom. As for the total energy: -16.6 eV for the cell shown.

```
KReTe2
1.0
-1.654 3.806 -3.159
0.234 -0.619 -5.173
-4.386 -0.618 -2.754
Re Te K
1 2 1
Cartesian
-1.451 0.642 -2.771
-4.353 1.926 -8.314
0.000 0.000 0.000
-2.902 1.284 -5.543
```